(1)
Pm5Si2C | PBE-GGA | relaxed

abc: 5.706 6.863 13.219
angles: 90.00 90.00 114.56
Sites, in units of the cell vectors:
1 Pm 0.945 0.890 0.876
2 Pm 0.945 0.890 0.624
3 Pm 0.336 0.672 0.396
4 Pm 0.336 0.672 0.104
5 Pm 0.702 0.404 0.250
6 Pm 0.298 0.596 0.750
7 Pm 0.664 0.328 0.604
8 Pm 0.664 0.328 0.896
9 Pm 0.055 0.110 0.124
10 Pm 0.055 0.110 0.376
11 Si 0.825 0.651 0.434
12 Si 0.825 0.651 0.066
13 Si 0.175 0.349 0.566
14 Si 0.175 0.349 0.934
15 C 0.798 0.596 0.750
16 C 0.202 0.404 0.250

- spin magnetization (μB/atom) = 0.04
- uncorrected formation energy (meV per atom) = -173
- density (g/cm³) = 5.6
- crystal system = orthorhombic
- raw total energy (eV/atom) = -5.651

=====

(2)
CoCu2Mo | PBE-GGA | relaxed

abc: 4.148 4.148 4.148
angles: 60.00 60.00 60.00
Sites, in units of the cell vectors:
1 Co 0.500 0.500 0.500
2 Cu 0.000 0.000 0.000
3 Cu 0.750 0.750 0.750
4 Mo 0.250 0.250 0.250

- spin magnetization (μB/atom) = 0.22
- density (g/cm³) = 9.3
- crystal system = cubic
- calculated formation energy (eV/atom) = 0.26
- raw total energy (eV/atom) = -6.275

=====

(3)
PmIrRhO6 | PBE-GGA | relaxed

abc: 5.452 5.452 8.493
angles: 90.00 90.00 120.00
Sites, in units of the cell vectors:
1 Pm 0.333 0.667 0.250
2 Pm 0.667 0.333 0.750
3 Ir 0.667 0.333 0.250
4 Ir 0.333 0.667 0.750
5 Rh 0.000 0.000 0.000
6 Rh 0.000 0.000 0.500
7 O 0.691 0.646 0.117
8 O 0.955 0.309 0.117
9 O 0.309 0.955 0.617
10 O 0.045 0.691 0.883
11 O 0.354 0.309 0.383
12 O 0.955 0.646 0.383
13 O 0.646 0.955 0.883
14 O 0.691 0.045 0.383
15 O 0.045 0.354 0.617
16 O 0.354 0.045 0.117
17 O 0.646 0.691 0.617
18 O 0.309 0.354 0.883

- spin magnetization (μB/atom) = 0.22
- uncorrected formation energy (meV per atom) = -1256
- density (g/cm³) = 8.1
- crystal system = trigonal
- raw total energy (eV/atom) = -6.891

=====

(4)
Tl2SnPd7 | PBE-GGA | relaxed

abc: 3.057 9.341 9.341
angles: 130.18 90.00 90.00
Sites, in units of the cell vectors:
1 Tl 0.500 0.674 0.326
2 Tl 0.500 0.326 0.674
3 Sn 0.000 0.000 0.000
4 Pd 0.000 0.810 0.190
5 Pd 0.000 0.190 0.810
6 Pd 0.500 0.114 0.291
7 Pd 0.500 0.886 0.709
8 Pd 0.500 0.291 0.114
9 Pd 0.500 0.709 0.886
10 Pd 0.500 0.500 0.500

- spin magnetization (μB/atom) = 0.00
- density (g/cm³) = 10.4
- crystal system = orthorhombic
- calculated formation energy (eV/atom) = 0.01
- raw total energy (eV/atom) = -4.494

=====

(5)
AcDy2Ni | PBE-GGA | relaxed

abc: 3.829 3.829 10.663
angles: 79.66 79.66 60.00
Sites, in units of the cell vectors:
1 Ni 0.500 0.500 0.500
2 Ac 0.000 0.000 0.000
3 Dy 0.118 0.118 0.645
4 Dy 0.882 0.882 0.355

- spin magnetization (μB/atom) = 0.00
- density (g/cm³) = 7.7
- crystal system = trigonal
- calculated formation energy (eV/atom) = 0.03
- raw total energy (eV/atom) = -4.746

=====

(6)
Na2CdAg2 | PBE-GGA | relaxed

abc: 5.727 5.727 8.809
angles: 76.67 76.67 61.62
Sites, in units of the cell vectors:
1 Na 0.484 0.214 0.153
2 Na 0.786 0.516 0.347
3 Na 0.516 0.786 0.847
4 Na 0.214 0.484 0.653
5 Cd 0.170 0.830 0.250
6 Cd 0.830 0.170 0.750
7 Ag 0.740 0.997 0.504
8 Ag 0.003 0.260 0.996
9 Ag 0.260 0.003 0.496
10 Ag 0.997 0.740 0.004

- spin magnetization (μB/atom) = 0.00
- density (g/cm³) = 5.1
- crystal system = monoclinic
- calculated formation energy (eV/atom) = -0.06
- raw total energy (eV/atom) = -1.908